Here is crystalline Li4Tl5In at its relaxed geometry from Alexandria via LeMat-Bulk. Energies are from PBE.

POSCAR file:
```
Li4Tl5In
1.0
3.370 0.000 0.000
0.000 3.370 0.000
0.000 0.000 20.157
Tl Li In
5 4 1
direct
0.500 0.500 0.128 Tl
0.500 0.500 0.318 Tl
0.500 0.500 0.872 Tl
0.500 0.500 0.682 Tl
0.500 0.500 0.500 Tl
0.000 0.000 0.410 Li
0.000 0.000 0.590 Li
0.000 0.000 0.772 Li
0.000 0.000 0.228 Li
0.000 0.000 0.000 In
```

The value obtained for the formation energy is -164 meV per atom. As for the space group: P4/mmm. The calculated density comes out at 8.45 g cm⁻³.

Here is crystalline Sm5Tm2Th2 at its relaxed geometry from Alexandria via LeMat-Bulk. Energies are from PBE.

POSCAR file:
```
Sm5Tm2Th2
1.0
-0.797 6.754 4.354
-3.254 -8.673 -2.110
5.701 2.836 7.121
Sm Tm Th
5 2 2
direct
0.892 0.780 0.554 Sm
0.673 0.336 0.667 Sm
0.000 0.000 0.000 Sm
0.108 0.220 0.446 Sm
0.327 0.664 0.333 Sm
0.212 0.445 0.892 Tm
0.788 0.555 0.108 Tm
0.556 0.107 0.213 Th
0.444 0.893 0.787 Th
```

The value obtained for the formation energy is -11 meV per atom. As for the space group: P-1. The calculated density comes out at 8.75 g cm⁻³.

Here is crystalline Te4MoW at its relaxed geometry from Alexandria via LeMat-Bulk. Energies are from PBE.

POSCAR file:
```
Te4MoW
1.0
-1.934 -1.459 -2.603
1.535 -2.071 2.449
-28.004 2.309 19.508
W Te Mo
2 8 2
direct
0.333 0.667 0.675 W
0.667 0.333 0.325 W
0.333 0.667 0.378 Te
0.667 0.333 0.729 Te
0.667 0.333 0.160 Te
0.667 0.333 0.622 Te
0.333 0.667 0.271 Te
0.333 0.667 0.946 Te
0.667 0.333 0.054 Te
0.333 0.667 0.840 Te
0.333 0.667 0.107 Mo
0.667 0.333 0.893 Mo
```

As for the space group: P-3m1. The calculated density comes out at 7.01 g cm⁻³. The energy above the most stable polymorph in this dataset comes out at 0.0050 eV per atom.